Entry 1:
The following is a GGA-PBE calculation of a geometry-optimized Ag2IrPt structure, from the Alexandria database.

Geometry as extended XYZ:
```
4
Lattice="2.777 0.001 0.000 -1.366 2.418 0.000 0.000 0.000 9.802" Properties=species:S:1:pos:R:3 pbc="T T T"
Pt 0.706 1.209 7.286
Ag 0.706 1.209 2.494
Ag 0.000 0.000 9.773
Ir 0.000 0.000 4.952
```

Calculated values
The polymorph energy (0 for the lowest one) comes out at 75 meV/atom.

=====

Entry 2:
The following is a GGA-PBE calculation of a geometry-optimized AgIrPt2 structure, from the Alexandria database.

Geometry as extended XYZ:
```
4
Lattice="-2.032 0.704 -4.392 -1.847 -2.041 -4.043 -4.741 -0.154 1.298" Properties=species:S:1:pos:R:3 pbc="T T T"
Ag -4.361 -0.748 -3.563
Pt -3.954 -1.336 -8.391
Pt -6.428 -1.112 -5.327
Ir -2.064 -0.376 -1.860
```

Calculated values
The polymorph energy (0 for the lowest one) comes out at 96 meV/atom.

=====

Computed DOS(E_F) (states/eV/atom) in order:
1.283 1.282
Computed DFT total energy (eV per atom) in order:
-4.9117 -5.8054
Computed E_form (kJ per mole of atoms) in order:
23.1 13.8